Computed, not measured: a relaxed structure of BaTb2Se at the GGA-PBE level of DFT.

Output
For the formation energy (no corrections), the calculation gives -0.62 eV per atom. Its calculated density is 6.244 Mg/m³.

Geometry as POSCAR:
```
BaTb2Se
1.0
1.956 1.129 10.718
-1.956 1.129 10.718
0.000 -2.259 10.718
Ba Tb Se
1 2 1
Direct
0.000 0.000 0.000
0.114 0.114 0.114
0.886 0.886 0.886
0.500 0.500 0.500
```

=====

Computed, not measured: a relaxed structure of AsCSe2 at the GGA-PBE level of DFT.

Output
For the formation energy (no corrections), the calculation gives 1.21 eV per atom. Its calculated density is 5.687 Mg/m³.

Geometry as POSCAR:
```
AsCSe2
1.0
1.580 0.912 8.271
-1.580 0.912 8.271
0.000 -1.824 8.271
As C Se
1 1 2
Direct
0.000 0.000 0.000
0.500 0.500 0.500
0.110 0.110 0.110
0.890 0.890 0.890
```

=====

Computed, not measured: a relaxed structure of Pm2AlCu4Sn3 at the GGA-PBE level of DFT.

Output
Its calculated density is 7.607 Mg/m³. The value obtained for the formation energy is -0.428 eV per atom.

Geometry as POSCAR:
```
Pm2AlCu4Sn3
1.0
4.335 0.000 0.000
0.000 4.335 0.000
0.000 0.000 10.770
Pm Al Cu Sn
2 1 4 3
Direct
0.000 0.500 0.248
0.500 0.000 0.752
0.000 0.000 0.500
0.000 0.000 0.000
0.000 0.500 0.631
0.500 0.000 0.369
0.500 0.500 0.000
0.000 0.500 0.867
0.500 0.000 0.133
0.500 0.500 0.500
```

=====

Computed, not measured: a relaxed structure of TlAsIrPbAuCl at the GGA-PBE level of DFT.

Output
For the formation energy (no corrections), the calculation gives -0.16 eV per atom. Its calculated density is 9.238 Mg/m³.

Geometry as POSCAR:
```
TlAsIrPbAuCl
1.0
5.166 0.000 0.000
0.000 3.959 0.000
-0.239 0.000 8.008
Tl As Ir Pb Au Cl
1 1 1 1 1 1
Direct
0.000 0.000 0.000
0.544 0.500 0.777
0.317 0.000 0.702
0.646 0.000 0.429
0.976 0.500 0.618
0.332 0.500 0.210
```

=====

Computed, not measured: a relaxed structure of Na3NbSi at the GGA-PBE level of DFT.

Output
For the formation energy (no corrections), the calculation gives 1.64 eV per atom. Its calculated density is 1.676 Mg/m³.

Geometry as POSCAR:
```
Na3NbSi
1.0
5.731 0.000 0.000
0.000 5.731 0.000
0.000 0.000 5.731
Na Nb Si
3 1 1
Direct
0.000 0.000 0.500
0.000 0.500 0.000
0.500 0.000 0.000
0.000 0.000 0.000
0.500 0.500 0.500
```

=====

Computed, not measured: a relaxed structure of CoRuCl2 at the GGA-PBE level of DFT.

Output
For the formation energy (no corrections), the calculation gives 0.50 eV per atom. Its calculated density is 5.229 Mg/m³.

Geometry as POSCAR:
```
CoRuCl2
1.0
1.751 1.011 6.906
-1.751 1.011 6.906
0.000 -2.022 6.906
Co Ru Cl
1 1 2
Direct
0.000 0.000 0.000
0.500 0.500 0.500
0.103 0.103 0.103
0.897 0.897 0.897
```

=====

Computed, not measured: a relaxed structure of TaCr2Ag at the GGA-PBE level of DFT.

Output
Its calculated density is 10.667 Mg/m³. The value obtained for the formation energy is 0.480 eV per atom.

Geometry as POSCAR:
```
TaCr2Ag
1.0
-1.951 1.951 4.018
1.951 -1.951 4.018
1.951 1.951 -4.018
Ta Cr Ag
1 2 1
Direct
0.000 0.000 0.000
0.500 0.500 0.000
0.750 0.250 0.500
0.250 0.750 0.500
```

=====

Computed, not measured: a relaxed structure of Sr3AcSb3 at the GGA-PBE level of DFT.

Output
For the formation energy (no corrections), the calculation gives -1.11 eV per atom. Its calculated density is 5.567 Mg/m³.

Geometry as POSCAR:
```
Sr3AcSb3
1.0
10.067 0.000 0.000
0.000 10.067 0.000
0.000 0.000 10.067
Sr Ac Sb
12 4 12
Direct
0.067 0.433 0.567
0.177 0.177 0.177
0.181 0.819 0.319
0.319 0.181 0.819
0.323 0.823 0.677
0.433 0.567 0.067
0.567 0.067 0.433
0.677 0.323 0.823
0.681 0.681 0.681
0.819 0.319 0.181
0.823 0.677 0.323
0.933 0.933 0.933
0.069 0.569 0.931
0.431 0.431 0.431
0.569 0.931 0.069
0.931 0.069 0.569
0.000 0.252 0.871
0.000 0.752 0.629
0.129 0.500 0.248
0.248 0.129 0.500
0.252 0.871 0.000
0.371 0.500 0.748
0.500 0.248 0.129
0.500 0.748 0.371
0.629 0.000 0.752
0.748 0.371 0.500
0.752 0.629 0.000
0.871 0.000 0.252
```

=====

Computed, not measured: a relaxed structure of Ac2BiAs at the GGA-PBE level of DFT.

Output
Its calculated density is 8.185 Mg/m³. The value obtained for the formation energy is -1.073 eV per atom.

Geometry as POSCAR:
```
Ac2BiAs
1.0
2.301 1.329 8.161
-2.301 1.329 8.161
0.000 -2.657 8.161
Ac Bi As
2 1 1
Direct
0.000 0.000 0.000
0.159 0.159 0.159
0.580 0.580 0.580
0.412 0.412 0.412
```

=====

Computed, not measured: a relaxed structure of Tb2Pm12Er at the GGA-PBE level of DFT.

Output
Its calculated density is 6.836 Mg/m³. The value obtained for the formation energy is 0.322 eV per atom.

Geometry as POSCAR:
```
Tb2Pm12Er
1.0
6.527 0.000 0.000
0.000 6.527 0.000
0.000 0.000 25.372
Tb Pm Er
4 24 2
Direct
0.250 0.750 0.229
0.250 0.750 0.771
0.750 0.250 0.229
0.750 0.250 0.771
0.067 0.567 0.386
0.067 0.933 0.614
0.082 0.582 0.938
0.082 0.918 0.062
0.250 0.250 0.163
0.250 0.250 0.285
0.250 0.250 0.715
0.250 0.250 0.837
0.418 0.582 0.062
0.418 0.918 0.938
0.433 0.567 0.614
0.433 0.933 0.386
0.567 0.067 0.614
0.567 0.433 0.386
0.582 0.082 0.062
0.582 0.418 0.938
0.750 0.750 0.163
0.750 0.750 0.285
0.750 0.750 0.715
0.750 0.750 0.837
0.918 0.082 0.938
0.918 0.418 0.062
0.933 0.067 0.386
0.933 0.433 0.614
0.250 0.750 0.500
0.750 0.250 0.500
```

=====

Computed, not measured: a relaxed structure of YCuOs2 at the GGA-PBE level of DFT.

Output
Its calculated density is 13.672 Mg/m³. The value obtained for the formation energy is 0.614 eV per atom.

Geometry as POSCAR:
```
YCuOs2
1.0
1.411 0.815 9.381
-1.411 0.815 9.381
0.000 -1.630 9.381
Y Cu Os
1 1 2
Direct
0.000 0.000 0.000
0.500 0.500 0.500
0.241 0.241 0.241
0.759 0.759 0.759
```

=====

Computed, not measured: a relaxed structure of Pm8Co2Ge at the GGA-PBE level of DFT.

Output
Its calculated density is 7.307 Mg/m³. The value obtained for the formation energy is -0.086 eV per atom.

Geometry as POSCAR:
```
Pm8Co2Ge
1.0
4.256 -6.646 0.000
4.256 6.646 0.000
-1.484 0.000 5.425
Pm Co Ge
8 2 1
Direct
0.078 0.334 0.578
0.237 0.763 0.000
0.334 0.078 0.578
0.382 0.382 0.192
0.618 0.618 0.808
0.666 0.922 0.422
0.763 0.237 0.000
0.922 0.666 0.422
0.295 0.705 0.500
0.705 0.295 0.500
0.000 0.000 0.000
```

=====

Computed, not measured: a relaxed structure of Np2Ag4S5 at the GGA-PBE level of DFT.

Output
For the formation energy (no corrections), the calculation gives -0.52 eV per atom. Its calculated density is 7.157 Mg/m³.

Geometry as POSCAR:
```
Np2Ag4S5
1.0
2.055 1.187 16.897
-2.055 1.187 16.897
0.000 -2.373 16.897
Np Ag S
2 4 5
Direct
0.136 0.136 0.136
0.864 0.864 0.864
0.308 0.308 0.308
0.417 0.417 0.417
0.583 0.583 0.583
0.692 0.692 0.692
0.225 0.225 0.225
0.369 0.369 0.369
0.500 0.500 0.500
0.631 0.631 0.631
0.775 0.775 0.775
```

=====

Computed, not measured: a relaxed structure of LiSiP at the GGA-PBE level of DFT.

Output
For the formation energy (no corrections), the calculation gives -0.08 eV per atom. Its calculated density is 2.080 Mg/m³.

Geometry as POSCAR:
```
LiSiP
1.0
4.070 0.000 0.000
0.000 2.298 2.816
0.000 -2.298 2.816
Li Si P
1 1 1
Direct
0.000 0.000 0.000
0.500 0.674 0.674
0.500 0.272 0.272
```

=====

Computed, not measured: a relaxed structure of SrTb2S3 at the GGA-PBE level of DFT.

Output
For the formation energy (no corrections), the calculation gives -2.01 eV per atom. Its calculated density is 6.026 Mg/m³.

Geometry as POSCAR:
```
SrTb2S3
1.0
-2.000 2.847 6.072
2.000 -2.847 6.072
2.000 2.847 -6.072
Sr Tb S
1 2 3
Direct
0.000 0.000 0.000
0.337 0.337 0.000
0.663 0.663 0.000
0.176 0.676 0.500
0.500 0.000 0.500
0.824 0.324 0.500
```

=====

Computed, not measured: a relaxed structure of Tb2Y3HoSb6 at the GGA-PBE level of DFT.

Output
For the formation energy (no corrections), the calculation gives -1.15 eV per atom. Its calculated density is 6.841 Mg/m³.

Geometry as POSCAR:
```
Tb2Y3HoSb6
1.0
3.803 -6.588 0.000
3.803 6.588 0.000
-2.533 0.000 7.169
Tb Y Ho Sb
2 3 1 6
Direct
0.166 0.834 0.000
0.834 0.166 0.000
0.000 0.000 0.500
0.333 0.667 0.500
0.667 0.333 0.500
0.500 0.500 0.000
0.085 0.417 0.750
0.252 0.252 0.250
0.417 0.085 0.750
0.583 0.915 0.250
0.748 0.748 0.750
0.915 0.583 0.250
```

=====

Computed, not measured: a relaxed structure of NaSn2Bi2 at the GGA-PBE level of DFT.

Output
Its calculated density is 6.119 Mg/m³. The value obtained for the formation energy is -0.004 eV per atom.

Geometry as POSCAR:
```
NaSn2Bi2
1.0
-2.555 2.555 7.047
2.555 -2.555 7.047
2.555 2.555 -7.047
Na Sn Bi
1 2 2
Direct
0.000 0.000 0.000
0.250 0.750 0.500
0.750 0.250 0.500
0.383 0.383 0.000
0.617 0.617 0.000
```

=====

Computed, not measured: a relaxed structure of Er7Cd4Pb at the GGA-PBE level of DFT.

Output
Its calculated density is 9.071 Mg/m³. The value obtained for the formation energy is -0.107 eV per atom.

Geometry as POSCAR:
```
Er7Cd4Pb
1.0
7.308 -2.870 0.000
7.308 2.870 0.000
-4.693 0.000 7.974
Er Cd Pb
7 4 1
Direct
0.000 0.000 0.000
0.241 0.241 0.708
0.314 0.314 0.126
0.423 0.423 0.580
0.577 0.577 0.420
0.686 0.686 0.874
0.759 0.759 0.292
0.032 0.032 0.685
0.186 0.186 0.344
0.814 0.814 0.656
0.968 0.968 0.315
0.500 0.500 0.000
```

=====

Computed, not measured: a relaxed structure of La3Pa2NbN6 at the GGA-PBE level of DFT.

Output
For the formation energy (no corrections), the calculation gives -1.45 eV per atom. Its calculated density is 9.340 Mg/m³.

Geometry as POSCAR:
```
La3Pa2NbN6
1.0
3.030 -5.243 0.000
3.030 5.243 0.000
-2.004 0.000 5.907
La Pa Nb N
3 2 1 6
Direct
0.000 0.000 0.000
0.337 0.663 0.000
0.663 0.337 0.000
0.167 0.833 0.500
0.833 0.167 0.500
0.500 0.500 0.500
0.105 0.433 0.299
0.240 0.240 0.704
0.433 0.105 0.299
0.567 0.895 0.701
0.760 0.760 0.296
0.895 0.567 0.701
```

=====

Computed, not measured: a relaxed structure of Pm7PrPb4 at the GGA-PBE level of DFT.

Output
Its calculated density is 8.339 Mg/m³. The value obtained for the formation energy is -0.163 eV per atom.

Geometry as POSCAR:
```
Pm7PrPb4
1.0
7.007 -2.973 0.000
7.007 2.973 0.000
-6.351 0.000 9.487
Pm Pr Pb
7 1 4
Direct
0.000 0.000 0.000
0.174 0.174 0.589
0.290 0.290 0.109
0.450 0.450 0.630
0.550 0.550 0.370
0.710 0.710 0.891
0.826 0.826 0.411
0.500 0.500 0.000
0.074 0.074 0.772
0.205 0.205 0.325
0.795 0.795 0.675
0.926 0.926 0.228
```